[1]
The following is a DFT calculation (PBE) of CePa2As after structural relaxation.

For the density, the calculation gives 11.55 g/cm³. The calculation puts the formation enthalpy at 0 K at -290 meV per atom. Its total magnetization is 0.499 μB per cell. The value obtained for the calculated volume is 24.34 Å³/atom. The energy above the most stable polymorph in this dataset comes out at 157.6 meV/atom.

a = 3.8905 Å, b = 3.8905 Å, c = 6.4315 Å
α = 90.00°, β = 90.00°, γ = 90.00°
With the nearest neighbours (Å) after each atom.
Element x y z (fractional)
Ce 0.0000 0.0000 0.0000  2 As 3.22, 8 Pa 3.32
Pa 0.5000 0.5000 0.2903  1 Pa 2.70
Pa 0.5000 0.5000 0.7097  1 Pa 2.70
As 0.0000 0.0000 0.5000  8 Pa 3.06, 2 Ce 3.22

---

[2]
The following is a DFT calculation (PBE) of CePa4As5 after structural relaxation.

For the density, the calculation gives 9.71 g/cm³. The calculation puts the formation enthalpy at 0 K at -1135 meV per atom. Its total magnetization is 0.188 μB per cell. The value obtained for the calculated volume is 24.60 Å³/atom.

a = 7.1267 Å, b = 7.1267 Å, c = 10.0861 Å
α = 118.17°, β = 118.17°, γ = 33.51°
With the nearest neighbours (Å) after each atom.
Element x y z (fractional)
Ce 0.0000 0.0000 0.0000  6 As 2.93-2.94
Pa 0.2009 0.2009 0.7977  6 As 2.89-2.90
Pa 0.4016 0.4016 0.6012  6 As 2.90-2.91
Pa 0.5984 0.5984 0.3988  6 As 2.90-2.91
Pa 0.7991 0.7991 0.2023  6 As 2.89-2.90
As 0.0000 0.0000 0.5000  6 Pa 2.90
As 0.2008 0.2008 0.3035  5 Pa 2.90, 1 Ce 2.93
As 0.3966 0.3966 0.1011  4 Pa 2.89-2.91, 2 Ce 2.94
As 0.6034 0.6034 0.8989  4 Pa 2.89-2.91, 2 Ce 2.94
As 0.7992 0.7992 0.6965  5 Pa 2.90, 1 Ce 2.93

---

[3]
The following is a DFT calculation (PBE) of Ce2PaAs after structural relaxation.

For the density, the calculation gives 9.32 g/cm³. The calculation puts the formation enthalpy at 0 K at -89 meV per atom. Its total magnetization is 0.001 μB per cell. The value obtained for the calculated volume is 26.12 Å³/atom. The energy above the most stable polymorph in this dataset comes out at 399.5 meV/atom.

a = 10.2850 Å, b = 10.2850 Å, c = 10.2850 Å
α = 19.36°, β = 19.36°, γ = 19.36°
With the nearest neighbours (Å) after each atom.
Element x y z (fractional)
Ce 0.0994 0.0994 0.0994  3 As 2.85, 1 Pa 3.01
Ce 0.9006 0.9006 0.9006  3 As 2.85, 1 Pa 3.01
Pa 0.0000 0.0000 0.0000  2 Ce 3.01
As 0.5000 0.5000 0.5000  6 Ce 2.85

---

[4]
The following is a DFT calculation (PBE) of CePaAs2 after structural relaxation.

For the density, the calculation gives 6.52 g/cm³. The calculation puts the formation enthalpy at 0 K at -424 meV per atom. Its total magnetization is 1.515 μB per cell. The value obtained for the calculated volume is 33.17 Å³/atom. The energy above the most stable polymorph in this dataset comes out at 819.4 meV/atom.

a = 8.9670 Å, b = 8.9670 Å, c = 8.9670 Å
α = 27.18°, β = 27.18°, γ = 27.18°
With the nearest neighbours (Å) after each atom.
Element x y z (fractional)
Ce 0.0000 0.0000 0.0000  2 As 2.85
Pa 0.5000 0.5000 0.5000  6 As 2.84
As 0.1101 0.1101 0.1101  3 Pa 2.84, 1 Ce 2.85
As 0.8899 0.8899 0.8899  3 Pa 2.84, 1 Ce 2.85

---

[5]
The following is a DFT calculation (PBE) of CePmPa2As4 after structural relaxation.

For the density, the calculation gives 8.56 g/cm³. The calculation puts the formation enthalpy at 0 K at -1263 meV per atom. Its total magnetization is 1.002 μB per cell. The value obtained for the calculated volume is 25.39 Å³/atom.

a = 7.1929 Å, b = 4.1514 Å, c = 7.2120 Å
α = 90.00°, β = 109.41°, γ = 90.00°
With the nearest neighbours (Å) after each atom.
Element x y z (fractional)
Ce 0.0000 0.0000 0.0000  6 As 2.98
Pm 0.5000 0.5000 0.0000  6 As 2.98
Pa 0.0000 0.5000 0.5000  6 As 2.90
Pa 0.5000 0.0000 0.5000  6 As 2.90
As 0.2457 0.0000 0.7392  3 Pa 2.90, 1 Ce 2.98, 2 Pm 2.98
As 0.2528 0.5000 0.2597  3 Pa 2.90, 2 Ce 2.98, 1 Pm 2.98
As 0.7472 0.5000 0.7403  3 Pa 2.90, 2 Ce 2.98, 1 Pm 2.98
As 0.7543 0.0000 0.2608  3 Pa 2.90, 1 Ce 2.98, 2 Pm 2.98

---

[6]
The following is a DFT calculation (PBE) of Ce2Pm3PaAs6 after structural relaxation.

For the density, the calculation gives 7.35 g/cm³. The calculation puts the formation enthalpy at 0 K at -1425 meV per atom. Its total magnetization is 1.677 μB per cell. The value obtained for the calculated volume is 26.27 Å³/atom.

a = 7.2840 Å, b = 7.2840 Å, c = 7.2777 Å
α = 99.60°, β = 99.60°, γ = 119.99°
With the nearest neighbours (Å) after each atom.
Element x y z (fractional)
Ce 0.1662 0.8338 0.0000  6 As 2.97
Ce 0.8338 0.1662 0.0000  6 As 2.97
Pm 0.0000 0.0000 0.5000  6 As 2.98-3.05
Pm 0.3314 0.6686 0.5000  6 As 2.98-3.03
Pm 0.6686 0.3314 0.5000  6 As 2.98-3.03
Pa 0.5000 0.5000 0.0000  6 As 2.90
As 0.0931 0.4192 0.7571  1 Pa 2.90, 2 Ce 2.97, 3 Pm 2.98-3.03
As 0.2555 0.2555 0.2433  1 Pa 2.90, 2 Ce 2.97, 3 Pm 2.99-3.05
As 0.4192 0.0931 0.7571  1 Pa 2.90, 2 Ce 2.97, 3 Pm 2.98-3.03
As 0.5808 0.9069 0.2429  1 Pa 2.90, 2 Ce 2.97, 3 Pm 2.98-3.03
As 0.7445 0.7445 0.7567  1 Pa 2.90, 2 Ce 2.97, 3 Pm 2.99-3.05
As 0.9069 0.5808 0.2429  1 Pa 2.90, 2 Ce 2.97, 3 Pm 2.98-3.03

---

[7]
The following is a DFT calculation (PBE) of Ce3Pm2PaAs6 after structural relaxation.

For the density, the calculation gives 7.33 g/cm³. The calculation puts the formation enthalpy at 0 K at -1403 meV per atom. Its total magnetization is 2.564 μB per cell. The value obtained for the calculated volume is 26.25 Å³/atom.

a = 7.2721 Å, b = 7.2721 Å, c = 7.2899 Å
α = 99.56°, β = 99.56°, γ = 119.98°
With the nearest neighbours (Å) after each atom.
Element x y z (fractional)
Ce 0.0000 0.0000 0.0000  6 As 2.96-3.04
Ce 0.3309 0.6691 0.0000  6 As 2.96-3.02
Ce 0.6691 0.3309 0.0000  6 As 2.96-3.02
Pm 0.1660 0.8340 0.5000  6 As 2.99
Pm 0.8340 0.1660 0.5000  6 As 2.99
Pa 0.5000 0.5000 0.5000  6 As 2.90
As 0.0938 0.4181 0.2535  1 Pa 2.90, 3 Ce 2.96-3.02, 2 Pm 2.99
As 0.2590 0.2590 0.7476  1 Pa 2.90, 3 Ce 2.98-3.04, 2 Pm 2.99
As 0.4181 0.0938 0.2535  1 Pa 2.90, 3 Ce 2.96-3.02, 2 Pm 2.99
As 0.5819 0.9062 0.7465  1 Pa 2.90, 3 Ce 2.96-3.02, 2 Pm 2.99
As 0.7410 0.7410 0.2524  1 Pa 2.90, 3 Ce 2.98-3.04, 2 Pm 2.99
As 0.9062 0.5819 0.7465  1 Pa 2.90, 3 Ce 2.96-3.02, 2 Pm 2.99

---

[8]
The following is a DFT calculation (PBE) of CePm2Pa3As6 after structural relaxation.

For the density, the calculation gives 8.56 g/cm³. The calculation puts the formation enthalpy at 0 K at -1271 meV per atom. Its total magnetization is 1.180 μB per cell. The value obtained for the calculated volume is 25.42 Å³/atom.

a = 9.2999 Å, b = 9.2999 Å, c = 8.3254 Å
α = 103.03°, β = 103.03°, γ = 25.81°
With the nearest neighbours (Å) after each atom.
Element x y z (fractional)
Ce 0.0000 0.0000 0.0000  6 As 2.98
Pm 0.3333 0.3333 0.6664  6 As 2.98-2.99
Pm 0.6667 0.6667 0.3336  6 As 2.98-2.99
Pa 0.0000 0.0000 0.5000  6 As 2.90
Pa 0.3334 0.3334 0.1664  6 As 2.89-2.90
Pa 0.6666 0.6666 0.8336  6 As 2.89-2.90
As 0.1642 0.1642 0.5903  3 Pa 2.89-2.90, 3 Pm 2.98-2.99
As 0.1691 0.1691 0.0774  3 Pa 2.90, 1 Ce 2.98, 2 Pm 2.98
As 0.4978 0.4978 0.2554  3 Pa 2.90, 2 Ce 2.98, 1 Pm 2.98
As 0.5022 0.5022 0.7446  3 Pa 2.90, 2 Ce 2.98, 1 Pm 2.98
As 0.8309 0.8309 0.9226  3 Pa 2.90, 1 Ce 2.98, 2 Pm 2.98
As 0.8358 0.8358 0.4097  3 Pa 2.89-2.90, 3 Pm 2.98-2.99

---

[9]
The following is a DFT calculation (PBE) of Ce2PmPaAs4 after structural relaxation.

For the density, the calculation gives 7.63 g/cm³. The calculation puts the formation enthalpy at 0 K at -1358 meV per atom. Its total magnetization is 1.983 μB per cell. The value obtained for the calculated volume is 26.01 Å³/atom.

a = 7.2505 Å, b = 4.1887 Å, c = 7.2640 Å
α = 90.00°, β = 109.42°, γ = 90.00°
With the nearest neighbours (Å) after each atom.
Element x y z (fractional)
Ce 0.0000 0.0000 0.0000  6 As 3.01-3.02
Ce 0.5000 0.5000 0.0000  6 As 2.95-2.96
Pm 0.0000 0.5000 0.5000  6 As 2.97-2.98
Pa 0.5000 0.0000 0.5000  6 As 2.91-2.92
As 0.2566 0.0000 0.7474  1 Pa 2.91, 3 Ce 2.95-3.02, 2 Pm 2.98
As 0.2581 0.5000 0.2572  2 Pa 2.92, 3 Ce 2.96-3.01, 1 Pm 2.97
As 0.7419 0.5000 0.7428  2 Pa 2.92, 3 Ce 2.96-3.01, 1 Pm 2.97
As 0.7434 0.0000 0.2526  1 Pa 2.91, 3 Ce 2.95-3.02, 2 Pm 2.98

---

[10]
The following is a DFT calculation (PBE) of Ce4PrPa3As8 after structural relaxation.

For the density, the calculation gives 8.03 g/cm³. The calculation puts the formation enthalpy at 0 K at -1292 meV per atom. Its total magnetization is 3.440 μB per cell. The value obtained for the calculated volume is 25.77 Å³/atom.

a = 8.3602 Å, b = 8.3602 Å, c = 8.3602 Å
α = 59.91°, β = 59.91°, γ = 59.91°
With the nearest neighbours (Å) after each atom.
Element x y z (fractional)
Ce 0.0000 0.0000 0.0000  6 As 2.93
Ce 0.0000 0.5000 0.5000  6 As 2.99-3.00
Ce 0.5000 0.0000 0.5000  6 As 2.99-3.00
Ce 0.5000 0.5000 0.0000  6 As 2.99-3.00
Pr 0.5000 0.5000 0.5000  6 As 2.98
Pa 0.0000 0.0000 0.5000  6 As 2.91-2.92
Pa 0.0000 0.5000 0.0000  6 As 2.91-2.92
Pa 0.5000 0.0000 0.0000  6 As 2.91-2.92
As 0.2400 0.7524 0.7524  2 Pa 2.91, 3 Ce 2.93-3.00, 1 Pr 2.98
As 0.2468 0.2468 0.2468  3 Pa 2.92, 3 Ce 2.99
As 0.2476 0.2476 0.7600  2 Pa 2.91, 3 Ce 2.93-3.00, 1 Pr 2.98
As 0.2476 0.7600 0.2476  2 Pa 2.91, 3 Ce 2.93-3.00, 1 Pr 2.98
As 0.7524 0.2400 0.7524  2 Pa 2.91, 3 Ce 2.93-3.00, 1 Pr 2.98
As 0.7524 0.7524 0.2400  2 Pa 2.91, 3 Ce 2.93-3.00, 1 Pr 2.98
As 0.7532 0.7532 0.7532  3 Pa 2.92, 3 Ce 2.99
As 0.7600 0.2476 0.2476  2 Pa 2.91, 3 Ce 2.93-3.00, 1 Pr 2.98

---

[11]
The following is a DFT calculation (PBE) of Ce2PrPaAs4 after structural relaxation.

For the density, the calculation gives 7.50 g/cm³. The calculation puts the formation enthalpy at 0 K at -1347 meV per atom. Its total magnetization is 1.977 μB per cell. The value obtained for the calculated volume is 26.33 Å³/atom.

a = 7.2871 Å, b = 4.2050 Å, c = 7.2882 Å
α = 90.00°, β = 109.42°, γ = 90.00°
With the nearest neighbours (Å) after each atom.
Element x y z (fractional)
Ce 0.0000 0.0000 0.0000  6 As 2.94-2.95
Ce 0.0000 0.5000 0.5000  6 As 3.02-3.03
Pr 0.5000 0.0000 0.5000  6 As 3.00-3.01
Pa 0.5000 0.5000 0.0000  6 As 2.92-2.93
As 0.2497 0.5000 0.2399  1 Pa 2.92, 3 Ce 2.94-3.03, 2 Pr 3.01
As 0.2560 0.0000 0.7602  2 Pa 2.93, 3 Ce 2.95-3.02, 1 Pr 3.00
As 0.7440 0.0000 0.2398  2 Pa 2.93, 3 Ce 2.95-3.02, 1 Pr 3.00
As 0.7503 0.5000 0.7601  1 Pa 2.92, 3 Ce 2.94-3.03, 2 Pr 3.01

---

[12]
The following is a DFT calculation (PBE) of Ce3Pr2PaAs6 after structural relaxation.

For the density, the calculation gives 7.17 g/cm³. The calculation puts the formation enthalpy at 0 K at -1392 meV per atom. Its total magnetization is 2.526 μB per cell. The value obtained for the calculated volume is 26.67 Å³/atom.

a = 7.3151 Å, b = 7.3151 Å, c = 7.3219 Å
α = 99.58°, β = 99.58°, γ = 119.97°
With the nearest neighbours (Å) after each atom.
Element x y z (fractional)
Ce 0.0000 0.0000 0.0000  6 As 2.96-3.06
Ce 0.3303 0.6697 0.0000  6 As 2.96-3.04
Ce 0.6697 0.3303 0.0000  6 As 2.96-3.04
Pr 0.1658 0.8342 0.5000  6 As 3.02-3.03
Pr 0.8342 0.1658 0.5000  6 As 3.02-3.03
Pa 0.5000 0.5000 0.5000  6 As 2.91
As 0.0958 0.4172 0.2508  1 Pa 2.91, 3 Ce 2.96-3.04, 2 Pr 3.02-3.03
As 0.2631 0.2631 0.7505  1 Pa 2.91, 3 Ce 2.98-3.06, 2 Pr 3.02
As 0.4172 0.0958 0.2508  1 Pa 2.91, 3 Ce 2.96-3.04, 2 Pr 3.02-3.03
As 0.5828 0.9042 0.7492  1 Pa 2.91, 3 Ce 2.96-3.04, 2 Pr 3.02-3.03
As 0.7369 0.7369 0.2495  1 Pa 2.91, 3 Ce 2.98-3.06, 2 Pr 3.02
As 0.9042 0.5828 0.7492  1 Pa 2.91, 3 Ce 2.96-3.04, 2 Pr 3.02-3.03

---

Number 10 is which compound? Ce4PrPa3As8